Record 1
# AlTl3Cl

Crystalline AlTl3Cl at its relaxed geometry (GGA-PBE, Alexandria via LeMat-Bulk).

Output
Relative energy among the computed polymorphs   0.0 meV/atom
E_tot   -12.9 eV/cell
Energy relative to the elements, uncorrected   -0.035 eV/atom
ρ   6.7 Mg/m³

a = 5.5004 Å, b = 5.5004 Å, c = 5.5004 Å
α = 90.00°, β = 90.00°, γ = 90.00°
With the nearest neighbours (Å) after each atom.
Space group Pm-3m (No. 221)
Asymmetric unit:
1 Al 0.0000 0.0000 0.0000 x1  6 Tl 2.75
2 Tl 0.0000 0.0000 0.5000 x3  2 Al 2.75
3 Cl 0.5000 0.5000 0.5000 x1  12 Tl 3.89

---

Record 2
# AlTl2Cl

Crystalline AlTl2Cl at its relaxed geometry (GGA-PBE, Alexandria via LeMat-Bulk).

Output
Relative energy among the computed polymorphs   237.3 meV/atom
E_tot   -41.0 eV/cell
Energy relative to the elements, uncorrected   0.016 eV/atom
ρ   7.3 Mg/m³

a = 7.5495 Å, b = 7.5495 Å, c = 7.5495 Å
α = 90.00°, β = 90.00°, γ = 90.00°
With the nearest neighbours (Å) after each atom.
Space group F-43m (No. 216)
Asymmetric unit:
1 Al 0.0000 0.0000 0.0000 x4  4 Tl 3.27, 4 Cl 3.27
2 Tl 0.0000 0.0000 0.5000 x4  4 Tl 3.27, 4 Cl 3.27
3 Tl 0.2500 0.2500 0.7500 x4  4 Tl 3.27, 4 Al 3.27
4 Cl 0.2500 0.2500 0.2500 x4  4 Tl 3.27, 4 Al 3.27

---

Record 3
# AlTlCl2

Crystalline AlTlCl2 at its relaxed geometry (GGA-PBE, Alexandria via LeMat-Bulk).

Output
Relative energy among the computed polymorphs   0.0 meV/atom
E_tot   -13.0 eV/cell
Energy relative to the elements, uncorrected   -0.796 eV/atom
ρ   4.1 Mg/m³

a = 5.6983 Å, b = 3.5640 Å, c = 6.1172 Å
α = 90.00°, β = 103.20°, γ = 90.00°
With the nearest neighbours (Å) after each atom.
Space group Pm (No. 6)
Asymmetric unit:
1 Al 0.0000 0.0000 0.0000 x1  3 Cl 2.23-2.46
2 Tl 0.3560 0.5000 0.3811 x1  2 Al 3.25, 3 Cl 3.38-3.42, 2 Tl 3.56
3 Cl 0.7033 0.5000 0.0012 x1  2 Al 2.46
4 Cl 0.9757 0.0000 0.6307 x1  1 Al 2.23

---

Record 4
# AlTl2Cl

Crystalline AlTl2Cl at its relaxed geometry (GGA-PBE, Alexandria via LeMat-Bulk).

Output
Relative energy among the computed polymorphs   98.5 meV/atom
E_tot   -21.6 eV/cell
Energy relative to the elements, uncorrected   -0.122 eV/atom
ρ   7.0 Mg/m³

a = 14.7845 Å, b = 3.4286 Å, c = 4.6207 Å
α = 90.00°, β = 108.13°, γ = 90.00°
With the nearest neighbours (Å) after each atom.
Space group C2/m (No. 12)
Asymmetric unit:
1 Al 0.0000 0.0000 0.0000 x2  4 Cl 2.88, 4 Tl 3.09
2 Tl 0.1829 0.5000 0.1841 x4  2 Al 3.09, 6 Tl 3.43-3.44, 1 Cl 3.45
3 Cl 0.0000 0.5000 0.5000 x2  4 Al 2.88

---

Record 5
# AlTl2Cl

Crystalline AlTl2Cl at its relaxed geometry (GGA-PBE, Alexandria via LeMat-Bulk).

Output
Relative energy among the computed polymorphs   11.4 meV/atom
E_tot   -11.2 eV/cell
Energy relative to the elements, uncorrected   -0.210 eV/atom
ρ   7.2 Mg/m³

a = 3.6020 Å, b = 5.0317 Å, c = 6.0331 Å
α = 90.00°, β = 90.00°, γ = 90.00°
With the nearest neighbours (Å) after each atom.
Space group Pmmm (No. 47)
Asymmetric unit:
1 Al 0.0000 0.0000 0.0000 x1  6 Tl 3.02-3.09
2 Tl 0.0000 0.0000 0.5000 x1  2 Al 3.02, 4 Cl 3.09
3 Tl 0.5000 0.5000 0.0000 x1  2 Cl 3.02, 4 Al 3.09
4 Cl 0.5000 0.5000 0.5000 x1  6 Tl 3.02-3.09

---

Record 6
# AlTl3Cl

Crystalline AlTl3Cl at its relaxed geometry (GGA-PBE, Alexandria via LeMat-Bulk).

Output
Relative energy among the computed polymorphs   257.7 meV/atom
E_tot   -11.6 eV/cell
Energy relative to the elements, uncorrected   0.223 eV/atom
ρ   5.7 Mg/m³

a = 5.8055 Å, b = 5.8055 Å, c = 5.8055 Å
α = 90.00°, β = 90.00°, γ = 90.00°
With the nearest neighbours (Å) after each atom.
Space group Pm-3m (No. 221)
Asymmetric unit:
1 Al 0.0000 0.0000 0.0000 x1  12 Tl 4.11
2 Tl 0.0000 0.5000 0.5000 x3  2 Cl 2.90
3 Cl 0.5000 0.5000 0.5000 x1  6 Tl 2.90

---

Record 7
# AlTl2Cl

Crystalline AlTl2Cl at its relaxed geometry (GGA-PBE, Alexandria via LeMat-Bulk).

Output
Relative energy among the computed polymorphs   104.9 meV/atom
E_tot   -10.8 eV/cell
Energy relative to the elements, uncorrected   -0.116 eV/atom
ρ   7.3 Mg/m³

a = 3.4786 Å, b = 3.4786 Å, c = 8.8939 Å
α = 90.00°, β = 90.00°, γ = 90.00°
With the nearest neighbours (Å) after each atom.
Space group P4/mmm (No. 123)
Asymmetric unit:
1 Al 0.0000 0.0000 0.0000 x1  8 Tl 3.36, 4 Al 3.48
2 Tl 0.5000 0.5000 0.2580 x2  4 Cl 3.27, 4 Al 3.36, 4 Tl 3.48
3 Cl 0.0000 0.0000 0.5000 x1  8 Tl 3.27, 4 Cl 3.48

---

Record 8
# AlTl2Cl

Crystalline AlTl2Cl at its relaxed geometry (GGA-PBE, Alexandria via LeMat-Bulk).

Output
Relative energy among the computed polymorphs   47.8 meV/atom
E_tot   -22.0 eV/cell
Energy relative to the elements, uncorrected   -0.173 eV/atom
ρ   7.3 Mg/m³

a = 3.3790 Å, b = 5.7565 Å, c = 11.0725 Å
α = 90.00°, β = 90.00°, γ = 90.00°
With the nearest neighbours (Å) after each atom.
Space group Imm2 (No. 44)
Asymmetric unit:
1 Al 0.0000 0.0000 0.0000 x2  2 Cl 2.56
2 Tl 0.0000 0.0000 0.4851 x2  4 Al 3.34, 4 Tl 3.38-3.54, 2 Cl 3.56
3 Tl 0.0000 0.5000 0.2665 x2  2 Al 3.09, 2 Tl 3.38
4 Cl 0.0000 0.5000 0.6741 x2  2 Al 2.56

---

Record 9
# AlTlCl2

Crystalline AlTlCl2 at its relaxed geometry (GGA-PBE, Alexandria via LeMat-Bulk).

Output
Relative energy among the computed polymorphs   186.0 meV/atom
E_tot   -12.2 eV/cell
Energy relative to the elements, uncorrected   -0.610 eV/atom
ρ   4.7 Mg/m³

a = 3.4441 Å, b = 4.0041 Å, c = 7.6790 Å
α = 90.00°, β = 90.07°, γ = 90.00°
With the nearest neighbours (Å) after each atom.
Space group P2/m (No. 10)
Asymmetric unit:
1 Al 0.0000 0.0000 0.0000 x1  4 Cl 2.72
2 Tl 0.5000 0.0000 0.5000 x1  8 Cl 3.31, 2 Tl 3.44
3 Cl 0.0011 0.5000 0.7593 x2  2 Al 2.72

---

Record 10
# AlTl2Cl4

Crystalline AlTl2Cl4 at its relaxed geometry (GGA-PBE, Alexandria via LeMat-Bulk).

Output
E_tot   -44.3 eV/cell
Energy relative to the elements, uncorrected   -0.900 eV/atom
ρ   4.1 Mg/m³

a = 7.4536 Å, b = 7.4536 Å, c = 8.4558 Å
α = 90.00°, β = 90.00°, γ = 90.00°
With the nearest neighbours (Å) after each atom.
Space group I4/mmm (No. 139)
Asymmetric unit:
1 Al 0.0000 0.0000 0.0000 x2  4 Cl 2.41
2 Tl 0.0000 0.5000 0.2500 x4  8 Cl 3.39
3 Cl 0.2287 0.2287 0.0000 x8  1 Al 2.41

---

Record 11
# AlTlCl4

Crystalline AlTlCl4 at its relaxed geometry (GGA-PBE, Alexandria via LeMat-Bulk).

Output
Relative energy among the computed polymorphs   0.0 meV/atom
E_tot   -88.4 eV/cell
Energy relative to the elements, uncorrected   -1.433 eV/atom
ρ   3.2 Mg/m³

a = 10.7412 Å, b = 7.2731 Å, c = 9.8759 Å
α = 90.00°, β = 90.00°, γ = 90.00°
With the nearest neighbours (Å) after each atom.
Space group Pnma (No. 62)
Asymmetric unit:
1 Al 0.0524 0.2500 0.1827 x4  4 Cl 2.15-2.17
2 Tl 0.2061 0.2500 0.7281 x4  6 Cl 3.28-3.47
3 Cl 0.0549 0.0081 0.3116 x8  1 Al 2.17
4 Cl 0.1153 0.7500 0.9353 x4  1 Al 2.15
5 Cl 0.2187 0.2500 0.0601 x4  1 Al 2.16

---

Record 12
# AlTl2Cl

Crystalline AlTl2Cl at its relaxed geometry (GGA-PBE, Alexandria via LeMat-Bulk).

Output
Relative energy among the computed polymorphs   168.6 meV/atom
E_tot   -21.1 eV/cell
Energy relative to the elements, uncorrected   -0.052 eV/atom
ρ   7.3 Mg/m³

a = 3.6597 Å, b = 5.4963 Å, c = 10.7187 Å
α = 90.00°, β = 90.00°, γ = 90.00°
With the nearest neighbours (Å) after each atom.
Space group Immm (No. 71)
Asymmetric unit:
1 Al 0.0000 0.0000 0.0000 x2  4 Tl 3.11, 4 Cl 3.30
2 Tl 0.0000 0.5000 0.2650 x4  2 Al 3.11, 4 Tl 3.32, 2 Cl 3.38
3 Cl 0.0000 0.0000 0.5000 x2  4 Al 3.30, 4 Tl 3.38, 2 Cl 3.66